Material: PaS6F2
Method: DFT, PBE
State: relaxed

Properties
Its space group is P-1.

Geometry as POSCAR:
```
PaS6F2
1.0
3.383 0.299 -1.649
0.049 6.703 -3.013
0.115 0.549 9.971
Pa S F
1 6 2
Direct
0.500 0.500 0.000
0.216 0.816 0.887
0.784 0.184 0.113
0.718 0.996 0.438
0.842 0.442 0.281
0.282 0.004 0.562
0.158 0.558 0.719
0.963 0.336 0.893
0.037 0.664 0.107
```

Material: Pa4S6F
Method: DFT, PBE
State: relaxed

Properties
Its space group is P-6m2.

Geometry as POSCAR:
```
Pa4S6F
1.0
3.785 0.000 0.000
0.000 8.366 0.000
0.000 -4.183 7.245
Pa S F
4 6 1
Direct
0.500 0.816 0.631
0.500 0.369 0.184
0.500 0.816 0.184
0.000 0.333 0.667
0.000 0.541 0.081
0.500 0.618 0.809
0.000 0.541 0.459
0.000 0.919 0.459
0.500 0.191 0.809
0.500 0.191 0.382
0.000 0.000 0.000
```

Material: PaTl2S3F3
Method: DFT, PBE
State: relaxed

Properties
Its space group is P-62m.

Geometry as POSCAR:
```
PaTl2S3F3
1.0
-1.360 -3.410 -0.859
6.711 -2.657 -0.076
-3.820 -0.020 6.124
Pa Tl S F
1 2 3 3
Direct
0.000 0.000 0.000
0.500 0.333 0.667
0.500 0.667 0.333
0.000 0.000 0.387
0.000 0.613 0.613
0.000 0.387 0.000
0.500 0.801 0.000
0.500 0.199 0.199
0.500 0.000 0.801
```

Material: PaSb2F11
Method: DFT, PBE
State: relaxed

Properties
Its space group is Ibam.

Geometry as POSCAR:
```
PaSb2F11
1.0
7.341 0.000 3.826
3.480 7.777 2.278
0.074 -0.324 8.813
Pa Sb F
2 4 22
Direct
0.750 0.750 0.750
0.250 0.250 0.250
0.650 0.668 0.332
0.350 0.332 0.668
0.850 0.168 0.832
0.150 0.832 0.168
0.634 0.712 0.565
0.366 0.288 0.435
0.088 0.565 0.712
0.866 0.935 0.788
0.912 0.435 0.288
0.134 0.065 0.212
0.412 0.788 0.935
0.588 0.212 0.065
0.500 0.500 0.500
0.000 0.000 0.000
0.854 0.768 0.232
0.146 0.232 0.768
0.646 0.268 0.732
0.354 0.732 0.268
0.446 0.997 0.285
0.554 0.003 0.715
0.272 0.285 0.997
0.054 0.215 0.503
0.728 0.715 0.003
0.946 0.785 0.497
0.228 0.503 0.215
0.772 0.497 0.785
```

Material: Pa2SbF
Method: DFT, PBE
State: relaxed

Properties
Its space group is R-3m.

Geometry as POSCAR:
```
Pa2SbF
1.0
3.595 0.000 0.000
1.797 3.113 0.000
1.797 1.038 9.136
Sb Pa F
1 2 1
Direct
0.500 0.500 0.500
0.083 0.083 0.750
0.917 0.917 0.250
0.000 0.000 0.000
```

Material: PaSbF
Method: DFT, PBE
State: relaxed

Properties
Its space group is P-6m2.

Geometry as POSCAR:
```
PaSbF
1.0
-0.751 -4.244 0.390
3.189 -0.796 -2.533
0.619 0.266 4.094
Sb Pa F
1 1 1
Direct
0.667 0.667 0.333
0.167 0.000 0.000
0.167 0.333 0.667
```

Material: PaSbF
Method: DFT, PBE
State: relaxed

Properties
Its space group is Cmcm.

Geometry as POSCAR:
```
PaSbF
1.0
-1.179 2.021 3.471
3.030 -4.100 3.417
5.330 2.252 -2.025
Pa Sb F
2 2 2
Direct
0.357 0.250 0.714
0.643 0.750 0.286
0.645 0.250 0.290
0.355 0.750 0.710
0.932 0.250 0.864
0.068 0.750 0.136
```

Material: ScPaF
Method: DFT, PBE
State: relaxed

Properties
Its space group is C2/m.

Geometry as POSCAR:
```
ScPaF
1.0
3.183 -0.023 0.493
1.570 2.769 0.493
2.446 1.413 13.814
Pa Sc F
2 2 2
Direct
0.227 0.227 0.053
0.526 0.526 0.254
0.711 0.711 0.463
0.042 0.042 0.845
0.303 0.303 0.554
0.450 0.450 0.753
```

Material: Sc2PaF11
Method: DFT, PBE
State: relaxed

Properties
Its space group is Ibam.

Geometry as POSCAR:
```
Sc2PaF11
1.0
-4.781 0.358 5.811
-5.587 -6.124 0.665
1.983 -4.381 6.785
Sc Pa F
4 2 22
Direct
0.629 0.680 0.320
0.371 0.320 0.680
0.871 0.180 0.820
0.129 0.820 0.180
0.750 0.750 0.750
0.250 0.250 0.250
0.636 0.707 0.567
0.364 0.293 0.433
0.089 0.567 0.707
0.864 0.933 0.793
0.911 0.433 0.293
0.136 0.067 0.207
0.411 0.793 0.933
0.589 0.207 0.067
0.500 0.500 0.500
0.000 0.000 0.000
0.867 0.773 0.227
0.133 0.227 0.773
0.633 0.273 0.727
0.367 0.727 0.273
0.453 0.968 0.322
0.547 0.032 0.678
0.258 0.322 0.968
0.047 0.178 0.532
0.742 0.678 0.032
0.953 0.822 0.468
0.242 0.532 0.178
0.758 0.468 0.822
```

Material: Sc2PaF
Method: DFT, PBE
State: relaxed

Properties
Its space group is R-3m.

Geometry as POSCAR:
```
Sc2PaF
1.0
-2.693 -1.298 -0.642
-1.113 -2.191 1.819
-5.674 5.400 5.600
Sc Pa F
2 1 1
Direct
0.106 0.106 0.683
0.894 0.894 0.317
0.000 0.000 0.000
0.500 0.500 0.500
```

Material: Pa5Se5F2
Method: DFT, PBE
State: relaxed

Properties
Its space group is C2/m.

Geometry as POSCAR:
```
Pa5Se5F2
1.0
-1.792 -1.012 3.339
3.929 -5.597 -1.892
5.708 7.593 5.366
Pa Se F
5 5 2
Direct
0.097 0.195 0.393
0.681 0.361 0.771
0.319 0.639 0.229
0.903 0.805 0.607
0.000 0.000 0.000
0.500 0.000 0.500
0.664 0.329 0.038
0.730 0.459 0.347
0.270 0.541 0.653
0.336 0.671 0.962
0.073 0.147 0.796
0.927 0.853 0.204
```

Material: PaSeF
Method: DFT, PBE
State: relaxed

Properties
Its space group is I4mm.

Geometry as POSCAR:
```
PaSeF
1.0
-1.407 2.962 1.098
-2.950 -1.661 0.703
3.758 -1.561 3.579
Pa Se F
1 1 1
Direct
0.690 0.690 0.380
0.013 0.013 0.026
0.297 0.297 0.594
```

Formation energy from raw total energies readings, ordered: -1.163 -1.648 -1.709 -2.914 -0.929 -1.793 -1.684 -1.597 -3.845 -0.855 -1.523 -1.941 eV per atom